{
  "formula": "TcHg3Au",
  "functional": "PBE",
  "state": "relaxed",
  "e_form_ev_per_atom": 0.9333,
  "sg": "Pm-3m",
  "e_above_lowest_polymorph_ev_per_atom": 0.000,
  "cell": [[5.3317, 0.0000, 0.0000], [0.0000, 5.3317, 0.0000], [0.0000, 0.0000, 5.3317]],
  "species": ["Tc", "Hg", "Hg", "Hg", "Au"],
  "frac_coords": [[0.0000, 0.0000, 0.0000], [0.0000, 0.0000, 0.5000], [0.0000, 0.5000, 0.0000], [0.5000, 0.0000, 0.0000], [0.5000, 0.5000, 0.5000]]
}